(1)
Below is crystalline Mo2PbW at its relaxed geometry, with properties calculated at the PBE level. Values from VASP.

```
&SYSTEM
  ibrav = 0, nat = 4, ntyp = 3
/
ATOMIC_SPECIES
Mo 95.94 Mo.upf
Pb 207.20 Pb.upf
W 183.84 W.upf
CELL_PARAMETERS angstrom
5.3827 0.0451 0.0120
-2.1919 4.9164 0.0120
0.5578 0.8673 2.6908
ATOMIC_POSITIONS crystal
Mo 0.0000 0.0000 0.0000
Mo 0.5000 0.5000 0.0000
Pb 0.5000 0.0000 0.5000
W 0.0000 0.5000 0.5000
```

Computed properties:
Symmetry: C2/m (12)

---

(2)
Below is crystalline Mo2PbW at its relaxed geometry, with properties calculated at the PBE level. Values from VASP.

```
&SYSTEM
  ibrav = 0, nat = 4, ntyp = 3
/
ATOMIC_SPECIES
Mo 95.94 Mo.upf
Pb 207.20 Pb.upf
W 183.84 W.upf
CELL_PARAMETERS angstrom
-1.8318 2.4066 0.6863
-1.9226 -2.2513 2.7627
3.8391 1.7528 4.1001
ATOMIC_POSITIONS crystal
Mo 0.0000 0.0000 0.9521
Mo 0.0000 0.0000 0.5479
Pb 0.5000 0.5000 0.2500
W 0.5000 0.5000 0.7500
```

Computed properties:
Symmetry: Pmmm (47)

---

(3)
Below is crystalline MoPbW2 at its relaxed geometry, with properties calculated at the PBE level. Values from VASP.

```
&SYSTEM
  ibrav = 0, nat = 4, ntyp = 3
/
ATOMIC_SPECIES
Mo 95.94 Mo.upf
Pb 207.20 Pb.upf
W 183.84 W.upf
CELL_PARAMETERS angstrom
-3.0565 2.7999 3.5640
-2.4827 -3.3007 -3.5813
-0.7404 -2.1469 1.7736
ATOMIC_POSITIONS crystal
Mo 0.5000 0.0000 0.5000
Pb 0.0000 0.5000 0.5000
W 0.0000 0.0000 0.0000
W 0.5000 0.5000 0.0000
```

Computed properties:
Symmetry: C2/m (12)

---

(4)
Below is crystalline MoPbW2 at its relaxed geometry, with properties calculated at the PBE level. Values from VASP.

```
&SYSTEM
  ibrav = 0, nat = 4, ntyp = 3
/
ATOMIC_SPECIES
Mo 95.94 Mo.upf
Pb 207.20 Pb.upf
W 183.84 W.upf
CELL_PARAMETERS angstrom
3.1129 0.0000 0.0000
0.0000 3.1129 0.0000
0.0000 0.0000 7.7562
ATOMIC_POSITIONS crystal
Mo 0.5000 0.5000 0.2500
Pb 0.5000 0.5000 0.7500
W 0.0000 0.0000 0.0472
W 0.0000 0.0000 0.4528
```

Computed properties:
Symmetry: P4/mmm (123)

---

(5)
Below is crystalline Mo2PbW at its relaxed geometry, with properties calculated at the PBE level. Values from VASP.

```
&SYSTEM
  ibrav = 0, nat = 4, ntyp = 3
/
ATOMIC_SPECIES
Mo 95.94 Mo.upf
Pb 207.20 Pb.upf
W 183.84 W.upf
CELL_PARAMETERS angstrom
-1.3577 -4.9740 -0.4800
2.7265 -3.1657 3.0593
-2.6198 4.3989 0.7756
ATOMIC_POSITIONS crystal
Mo 0.0000 0.0000 0.0000
Mo 0.2500 0.7500 0.5000
Pb 0.5000 0.5000 0.0000
W 0.7500 0.2500 0.5000
```

Computed properties:
Symmetry: I-4m2 (119)

---

(6)
Below is crystalline MoPbW2 at its relaxed geometry, with properties calculated at the PBE level. Values from VASP.

```
&SYSTEM
  ibrav = 0, nat = 4, ntyp = 3
/
ATOMIC_SPECIES
Mo 95.94 Mo.upf
Pb 207.20 Pb.upf
W 183.84 W.upf
CELL_PARAMETERS angstrom
3.1224 0.0000 0.0000
0.0000 3.1224 0.0000
0.0000 0.0000 7.6825
ATOMIC_POSITIONS crystal
Mo 0.0000 0.0000 0.4544
Pb 0.5000 0.5000 0.7488
W 0.0000 0.0000 0.0447
W 0.5000 0.5000 0.2520
```

Computed properties:
Symmetry: P4mm (99)

---

(7)
Below is crystalline MoPbW2 at its relaxed geometry, with properties calculated at the PBE level. Values from VASP.

```
&SYSTEM
  ibrav = 0, nat = 4, ntyp = 3
/
ATOMIC_SPECIES
Mo 95.94 Mo.upf
Pb 207.20 Pb.upf
W 183.84 W.upf
CELL_PARAMETERS angstrom
-4.7037 -0.4456 1.2025
2.7598 -1.5926 3.6901
0.0384 2.9270 1.2346
ATOMIC_POSITIONS crystal
Mo 0.5000 0.0000 0.5000
Pb 0.0000 0.5000 0.5000
W 0.0000 0.0000 0.0000
W 0.5000 0.5000 0.0000
```

Computed properties:
Symmetry: Cmmm (65)

---

(8)
Below is crystalline MoPbW2 at its relaxed geometry, with properties calculated at the PBE level. Values from VASP.

```
&SYSTEM
  ibrav = 0, nat = 4, ntyp = 3
/
ATOMIC_SPECIES
Mo 95.94 Mo.upf
Pb 207.20 Pb.upf
W 183.84 W.upf
CELL_PARAMETERS angstrom
-0.2596 -3.7602 2.7048
3.6665 -1.2948 2.5304
-0.0863 0.4639 4.6152
ATOMIC_POSITIONS crystal
Mo 0.5000 0.5000 0.5000
Pb 0.7500 0.7500 0.7500
W 0.0000 0.0000 0.0000
W 0.2500 0.2500 0.2500
```

Computed properties:
Symmetry: F-43m (216)

---

(9)
Below is crystalline MoPbW at its relaxed geometry, with properties calculated at the PBE level. Values from VASP.

```
&SYSTEM
  ibrav = 0, nat = 3, ntyp = 3
/
ATOMIC_SPECIES
Mo 95.94 Mo.upf
Pb 207.20 Pb.upf
W 183.84 W.upf
CELL_PARAMETERS angstrom
-1.7634 -1.8212 -3.7203
1.3739 -4.0556 -1.3897
-2.7596 -3.5426 0.3184
ATOMIC_POSITIONS crystal
Mo 0.7500 0.7500 0.7500
Pb 0.0000 0.0000 0.0000
W 0.5000 0.5000 0.5000
```

Computed properties:
Excess energy over the best structure of this formula in the dataset: 433 meV per atom
Symmetry: F-43m (216)

---

(10)
Below is crystalline Mo2PbW at its relaxed geometry, with properties calculated at the PBE level. Values from VASP.

```
&SYSTEM
  ibrav = 0, nat = 4, ntyp = 3
/
ATOMIC_SPECIES
Mo 95.94 Mo.upf
Pb 207.20 Pb.upf
W 183.84 W.upf
CELL_PARAMETERS angstrom
5.4322 -0.0048 0.0354
4.4094 3.1726 0.0354
1.8573 0.5978 4.0804
ATOMIC_POSITIONS crystal
Mo 0.9960 0.9960 0.0039
Mo 0.7402 0.7402 0.7596
Pb 0.5011 0.5011 0.4988
W 0.2626 0.2626 0.2377
```

Computed properties:
Symmetry: Imm2 (44)

---

(11)
Below is crystalline MoPbW2 at its relaxed geometry, with properties calculated at the PBE level. Values from VASP.

```
&SYSTEM
  ibrav = 0, nat = 4, ntyp = 3
/
ATOMIC_SPECIES
Mo 95.94 Mo.upf
Pb 207.20 Pb.upf
W 183.84 W.upf
CELL_PARAMETERS angstrom
-1.7082 -2.1923 1.2512
3.3758 -1.7017 1.6272
-0.6743 3.2840 4.8334
ATOMIC_POSITIONS crystal
Mo 0.5000 0.5000 0.2500
Pb 0.5000 0.5000 0.7500
W 0.0000 0.0000 0.0440
W 0.0000 0.0000 0.4560
```

Computed properties:
Symmetry: Pmmm (47)

---

(12)
Below is crystalline MoPb4W at its relaxed geometry, with properties calculated at the PBE level. Values from VASP.

```
&SYSTEM
  ibrav = 0, nat = 6, ntyp = 3
/
ATOMIC_SPECIES
Mo 95.94 Mo.upf
Pb 207.20 Pb.upf
W 183.84 W.upf
CELL_PARAMETERS angstrom
-5.2472 -3.2951 -0.6681
-5.0178 2.6248 -2.6018
-1.8594 -1.7817 -5.6750
ATOMIC_POSITIONS crystal
Mo 0.0000 0.0000 0.0000
Pb 0.8747 0.3751 0.3751
Pb 0.3751 0.3751 0.8747
Pb 0.3751 0.8747 0.3751
Pb 0.3751 0.3751 0.3751
W 0.7500 0.7500 0.7500
```

Computed properties:
Symmetry: F-43m (216)

---

| no. | total energy (eV/atom) | ΔH_f (0 K) (meV per atom) | DOS at the Fermi energy (states/eV/f.u.) |
| --- | --- | --- | --- |
| 1 | -8.811 | 770 | 4.39 |
| 2 | -9.035 | 546 | 2.55 |
| 3 | -9.251 | 861 | 4.44 |
| 4 | -9.389 | 723 | 3.40 |
| 5 | -8.887 | 694 | 3.58 |
| 6 | -9.490 | 621 | 3.69 |
| 7 | -9.248 | 863 | 3.08 |
| 8 | -9.336 | 775 | 2.74 |
| 9 | -8.096 | 1068 | 3.42 |
| 10 | -9.006 | 575 | 3.81 |
| 11 | -9.409 | 702 | 3.05 |
| 12 | -4.788 | 1648 | 5.43 |